The following is a DFT calculation (PBEsol) of crystalline K3GdSi2O7 at its relaxed geometry.

The value obtained for the density of states at the Fermi level is 0.00 states/eV/atom.

a = 9.9279 Å, b = 9.9279 Å, c = 14.4432 Å
α = 90.00°, β = 90.00°, γ = 120.00°
Space group P6_3/mcm (No. 193)
Unique sites:
K 0.0000 0.0000 0.0000 x2
K 0.0000 0.3322 0.0892 x12
K 0.3333 0.6667 0.2500 x4
Gd 0.0000 0.0000 0.2500 x2
Gd 0.3333 0.6667 0.0000 x4
Si 0.0000 0.3407 0.6431 x12
O 0.0000 0.1765 0.6465 x12
O 0.0000 0.4065 0.7500 x6
O 0.1555 0.4765 0.5923 x24

The following is a DFT calculation (PBEsol) of crystalline HgI2 at its relaxed geometry.

a = 8.8078 Å, b = 8.8078 Å, c = 24.5657 Å
α = 90.00°, β = 90.00°, γ = 90.00°
Space group I4_1/amd (No. 141, origin choice 2)
Unique sites:
Hg 0.0000 0.0031 0.3114 x16
I 0.0000 0.2500 0.2401 x8
I 0.0000 0.2500 0.7594 x8
I 0.2355 0.0145 0.8750 x16

The following is a DFT calculation (PBEsol) of crystalline Nb3CdF at its relaxed geometry.

The value obtained for the density of states at the Fermi level is 0.65 states/eV/atom.

a = 4.3196 Å, b = 4.3196 Å, c = 4.3196 Å
α = 90.00°, β = 90.00°, γ = 90.00°
Space group Pm-3m (No. 221)
Unique sites:
Nb 0.0000 0.0000 0.5000 x3
Cd 0.5000 0.5000 0.5000 x1
F 0.0000 0.0000 0.0000 x1

Raw formation energy values (in meV/atom) by entry order: -2710.5; -268.5; -15.9.